# 1
# SrCa3Pb4, relaxed, DFT PBE-GGA
# Magnetic moment in μB/atom: 0.000
# Uncorrected energy in eV/atom: -3.328
data_SrCa3Pb4
_symmetry_space_group_name_H-M 'P 1'
_symmetry_Int_Tables_number 1
_cell_length_a 11.433
_cell_length_b 7.565
_cell_length_c 5.833
_cell_angle_alpha 90.00
_cell_angle_beta 90.00
_cell_angle_gamma 90.00
loop_
_symmetry_equiv_pos_as_xyz
'x,y,z'
loop_
_atom_site_label
_atom_site_fract_x
_atom_site_fract_y
_atom_site_fract_z
Sr1 0.000 0.000 0.000
Sr2 0.500 0.000 0.000
Ca1 0.000 0.500 0.000
Ca2 0.250 0.000 0.430
Ca3 0.250 0.500 0.407
Ca4 0.500 0.500 0.000
Ca5 0.750 0.000 0.570
Ca6 0.750 0.500 0.593
Pb1 0.000 0.262 0.500
Pb2 0.000 0.738 0.500
Pb3 0.250 0.263 0.902
Pb4 0.250 0.737 0.902
Pb5 0.500 0.262 0.500
Pb6 0.500 0.738 0.500
Pb7 0.750 0.263 0.098
Pb8 0.750 0.737 0.098

---

# 2
# SrLiSnS3, relaxed, DFT PBE-GGA
# Energy relative to the elements, uncorrected in kJ/mol of formula units: -653
# Magnetic moment in μB/atom: 0.000
data_SrLiSnS3
_symmetry_space_group_name_H-M 'P 1'
_symmetry_Int_Tables_number 1
_cell_length_a 8.370
_cell_length_b 3.999
_cell_length_c 8.613
_cell_angle_alpha 90.00
_cell_angle_beta 105.55
_cell_angle_gamma 90.00
loop_
_symmetry_equiv_pos_as_xyz
'x,y,z'
loop_
_atom_site_label
_atom_site_fract_x
_atom_site_fract_y
_atom_site_fract_z
Sr1 0.196 0.250 0.242
Sr2 0.804 0.750 0.758
Li1 0.090 0.250 0.592
Li2 0.910 0.750 0.408
Sn1 0.330 0.750 0.842
Sn2 0.670 0.250 0.158
S1 0.111 0.250 0.875
S2 0.209 0.750 0.515
S3 0.442 0.750 0.172
S4 0.558 0.250 0.828
S5 0.791 0.250 0.485
S6 0.889 0.750 0.125

---

# 3
# Ac3Sn2Pd3, relaxed, DFT PBE-GGA
# Magnetic moment in μB/atom: 0.000
# Uncorrected energy in eV/atom: -5.267
data_Ac3Sn2Pd3
_symmetry_space_group_name_H-M 'P 1'
_symmetry_Int_Tables_number 1
_cell_length_a 6.460
_cell_length_b 6.460
_cell_length_c 15.429
_cell_angle_alpha 90.00
_cell_angle_beta 90.00
_cell_angle_gamma 137.45
loop_
_symmetry_equiv_pos_as_xyz
'x,y,z'
loop_
_atom_site_label
_atom_site_fract_x
_atom_site_fract_y
_atom_site_fract_z
Ac1 0.080 0.920 0.608
Ac2 0.080 0.920 0.892
Ac3 0.371 0.629 0.750
Ac4 0.629 0.371 0.250
Ac5 0.920 0.080 0.108
Ac6 0.920 0.080 0.392
Sn1 0.212 0.788 0.092
Sn2 0.212 0.788 0.408
Sn3 0.788 0.212 0.592
Sn4 0.788 0.212 0.908
Pd1 0.330 0.670 0.250
Pd2 0.389 0.611 0.541
Pd3 0.389 0.611 0.959
Pd4 0.611 0.389 0.041
Pd5 0.611 0.389 0.459
Pd6 0.670 0.330 0.750

---

# 4
# SmTl5I8, relaxed, DFT PBE-GGA
# Energy relative to the elements, uncorrected in kJ/mol of formula units: -1130
# Magnetic moment in μB/atom: 0.000
data_SmTl5I8
_symmetry_space_group_name_H-M 'P 1'
_symmetry_Int_Tables_number 1
_cell_length_a 9.074
_cell_length_b 9.074
_cell_length_c 9.074
_cell_angle_alpha 109.85
_cell_angle_beta 109.85
_cell_angle_gamma 108.71
loop_
_symmetry_equiv_pos_as_xyz
'x,y,z'
loop_
_atom_site_label
_atom_site_fract_x
_atom_site_fract_y
_atom_site_fract_z
Sm1 0.000 0.000 0.000
Tl1 0.148 0.251 0.626
Tl2 0.250 0.750 0.500
Tl3 0.478 0.852 0.103
Tl4 0.625 0.522 0.374
Tl5 0.749 0.375 0.897
I1 0.207 0.445 0.107
I2 0.338 0.101 0.893
I3 0.359 0.139 0.357
I4 0.555 0.662 0.763
I5 0.782 0.002 0.643
I6 0.861 0.218 0.220
I7 0.899 0.793 0.237
I8 0.998 0.641 0.780

---

# 5
# Ge3MoS, relaxed, DFT PBE-GGA
# Energy above the most stable polymorph in this dataset in meV per atom: 615
# Energy relative to the elements, uncorrected in kJ/mol of formula units: 565
# Magnetic moment in μB/atom: 0.000
data_Ge3MoS
_symmetry_space_group_name_H-M 'P 1'
_symmetry_Int_Tables_number 1
_cell_length_a 4.648
_cell_length_b 4.648
_cell_length_c 4.648
_cell_angle_alpha 90.00
_cell_angle_beta 90.00
_cell_angle_gamma 90.00
loop_
_symmetry_equiv_pos_as_xyz
'x,y,z'
loop_
_atom_site_label
_atom_site_fract_x
_atom_site_fract_y
_atom_site_fract_z
Ge1 0.000 0.000 0.500
Ge2 0.000 0.500 0.000
Ge3 0.500 0.000 0.000
Mo1 0.500 0.500 0.500
S1 0.000 0.000 0.000

---

# 6
# SeS3N, relaxed, DFT PBE-GGA
# Energy above the most stable polymorph in this dataset in meV per atom: 0
# Energy relative to the elements, uncorrected in kJ/mol of formula units: 243
# Magnetic moment in μB/atom: 0.041
data_SeS3N
_symmetry_space_group_name_H-M 'P 1'
_symmetry_Int_Tables_number 1
_cell_length_a 9.504
_cell_length_b 9.504
_cell_length_c 5.992
_cell_angle_alpha 96.16
_cell_angle_beta 96.16
_cell_angle_gamma 89.43
loop_
_symmetry_equiv_pos_as_xyz
'x,y,z'
loop_
_atom_site_label
_atom_site_fract_x
_atom_site_fract_y
_atom_site_fract_z
Se1 0.045 0.955 0.750
Se2 0.288 0.712 0.750
Se3 0.712 0.288 0.250
Se4 0.955 0.045 0.250
S1 0.081 0.749 0.537
S2 0.208 0.360 0.960
S3 0.251 0.919 0.963
S4 0.302 0.448 0.426
S5 0.360 0.208 0.460
S6 0.448 0.302 0.926
S7 0.552 0.698 0.074
S8 0.640 0.792 0.540
S9 0.698 0.552 0.574
S10 0.749 0.081 0.037
S11 0.792 0.640 0.040
S12 0.919 0.251 0.463
N1 0.204 0.458 0.192
N2 0.458 0.204 0.692
N3 0.542 0.796 0.308
N4 0.796 0.542 0.808

---

What did the fifth record say?
# Ge3MoS, relaxed, DFT PBE-GGA
# Energy above the most stable polymorph in this dataset in meV per atom: 615
# Energy relative to the elements, uncorrected in kJ/mol of formula units: 565
# Magnetic moment in μB/atom: 0.000
data_Ge3MoS
_symmetry_space_group_name_H-M 'P 1'
_symmetry_Int_Tables_number 1
_cell_length_a 4.648
_cell_length_b 4.648
_cell_length_c 4.648
_cell_angle_alpha 90.00
_cell_angle_beta 90.00
_cell_angle_gamma 90.00
loop_
_symmetry_equiv_pos_as_xyz
'x,y,z'
loop_
_atom_site_label
_atom_site_fract_x
_atom_site_fract_y
_atom_site_fract_z
Ge1 0.000 0.000 0.500
Ge2 0.000 0.500 0.000
Ge3 0.500 0.000 0.000
Mo1 0.500 0.500 0.500
S1 0.000 0.000 0.000

---

Q: Which formula does entry 3 have?
A: Ac3Sn2Pd3

---

Q: Look up the magnetic moment of the fifth one.
A: 0.000 μB/atom